A geometry-optimized HPbWF2 structure. Source: the Alexandria database, functional GGA+U.

Output
Total DFT energy (no corrections) in eV/cell: -22.11

Cell: 4.144 4.144 6.087 Å, 90.00 90.00 90.00°
Space group P4/mmm (No. 123)
Unique sites:
H 0.000 0.000 0.000
Pb 0.500 0.500 0.000
W 0.500 0.500 0.500
F 0.000 0.500 0.500